VASP calculation (GGA-PBE) on a relaxed structure of TiTlZn2.

Cell lengths 4.118, 4.123, 4.123 Å; angles 90.00, 90.00, 90.00 degrees
Fractional coordinates of all 4 atoms:
Zn (0.000, 0.500, 0.000)
Ti (0.500, 0.500, 0.500)
Tl (0.500, 0.000, 0.000)
Zn (0.000, 0.000, 0.500)

Computed properties:
* calculated volume: 70 Å³/f.u.
* M_tot: 0.000 μB/atom
* energy relative to the elements: -0.01 eV per atom